(1)
As4C after structural relaxation. Source: the Alexandria database, functional PBE.

Unit cell a=5.8251 b=5.8251 c=5.8251 alpha=93.67 beta=93.67 gamma=150.67
Fractional positions:
As 0.0720 0.7777 0.8497
As 0.2223 0.0720 0.2943
As 0.7777 0.9280 0.7057
As 0.9280 0.2223 0.1503
C 0.5000 0.5000 0.0000

Properties
Its density of states at the Fermi level is 1.34 states/eV/cell. Its space-group type is I4/m (87). Its calculated formation energy is 1020.4 meV/atom. The value obtained for the calculated volume is 93.7 Å³ per cell. As for the energy above the most stable polymorph in this dataset: 72 meV per atom.

(2)
AsC4 after structural relaxation. Source: the Alexandria database, functional PBE.

Unit cell a=4.1167 b=4.1167 c=4.1167 alpha=109.47 beta=109.47 gamma=109.47
Fractional positions:
As 0.0000 0.0000 0.0000
C 0.0000 0.0000 0.5000
C 0.0000 0.5000 0.0000
C 0.5000 0.0000 0.0000
C 0.5000 0.5000 0.5000

Properties
Its density of states at the Fermi level is 2.53 states/eV/cell. Its space-group type is Im-3m (229). Its calculated formation energy is 3624.8 meV/atom. The value obtained for the calculated volume is 53.7 Å³ per cell. As for the energy above the most stable polymorph in this dataset: 2403 meV per atom.

(3)
AsC after structural relaxation. Source: the Alexandria database, functional PBE.

Unit cell a=5.6778 b=5.6778 c=5.6778 alpha=109.47 beta=109.47 gamma=109.47
Fractional positions:
As 0.0000 0.0000 0.3285
As 0.0000 0.3285 0.0000
As 0.3285 0.0000 0.0000
As 0.6715 0.6715 0.6715
C 0.0000 0.0000 0.6886
C 0.0000 0.6886 0.0000
C 0.3114 0.3114 0.3114
C 0.6886 0.0000 0.0000

Properties
Its density of states at the Fermi level is 3.27 states/eV/cell. Its space-group type is I-43m (217). Its calculated formation energy is 1595.1 meV/atom. The value obtained for the calculated volume is 140.9 Å³ per cell. As for the energy above the most stable polymorph in this dataset: 1055 meV per atom.

(4)
AsC after structural relaxation. Source: the Alexandria database, functional PBE.

Unit cell a=6.7352 b=6.7352 c=6.7352 alpha=93.12 beta=93.12 gamma=153.04
Fractional positions:
As 0.0948 0.7133 0.8081
As 0.2867 0.0948 0.3816
As 0.7133 0.9052 0.6184
As 0.9052 0.2867 0.1919
C 0.1128 0.3330 0.4459
C 0.3330 0.8872 0.2202
C 0.6670 0.1128 0.7798
C 0.8872 0.6670 0.5541

Properties
Its density of states at the Fermi level is 3.35 states/eV/cell. Its space-group type is I4/m (87). Its calculated formation energy is 1280.4 meV/atom. The value obtained for the calculated volume is 134.7 Å³ per cell. As for the energy above the most stable polymorph in this dataset: 740 meV per atom.

(5)
AsC after structural relaxation. Source: the Alexandria database, functional PBE.

Unit cell a=4.4505 b=4.4505 c=4.0736 alpha=90.00 beta=90.00 gamma=90.00
Fractional positions:
As 0.0000 0.0000 0.0000
As 0.0000 0.5000 0.5000
As 0.5000 0.0000 0.5000
C 0.0000 0.0000 0.5000
C 0.0000 0.5000 0.0000
C 0.5000 0.0000 0.0000

Properties
Its density of states at the Fermi level is 2.12 states/eV/cell. Its space-group type is P4/mmm (123). Its calculated formation energy is 1745.0 meV/atom. The value obtained for the calculated volume is 80.7 Å³ per cell. As for the energy above the most stable polymorph in this dataset: 1205 meV per atom.

(6)
As2C after structural relaxation. Source: the Alexandria database, functional PBE.

Unit cell a=3.8122 b=3.8122 c=7.3800 alpha=90.00 beta=90.00 gamma=120.00
Fractional positions:
As 0.0000 0.0000 0.0000
As 0.0000 0.0000 0.5000
As 0.3333 0.6667 0.2500
As 0.6667 0.3333 0.7500
C 0.3333 0.6667 0.7500
C 0.6667 0.3333 0.2500

Properties
Its density of states at the Fermi level is 3.33 states/eV/cell. Its space-group type is P6_3/mmc (194). Its calculated formation energy is 1679.6 meV/atom. The value obtained for the calculated volume is 92.9 Å³ per cell. As for the energy above the most stable polymorph in this dataset: 1183 meV per atom.

(7)
As2C after structural relaxation. Source: the Alexandria database, functional PBE.

Unit cell a=7.1296 b=7.1296 c=7.4583 alpha=116.49 beta=116.49 gamma=24.06
Fractional positions:
As 0.0258 0.0258 0.3190
As 0.1859 0.1859 0.0357
As 0.8141 0.8141 0.9643
As 0.9742 0.9742 0.6810
C 0.4369 0.4369 0.1741
C 0.5631 0.5631 0.8259

Properties
Its density of states at the Fermi level is 1.74 states/eV/cell. Its space-group type is C2/m (12). Its calculated formation energy is 1124.5 meV/atom. The value obtained for the calculated volume is 137.5 Å³ per cell. As for the energy above the most stable polymorph in this dataset: 628 meV per atom.

(8)
As2C after structural relaxation. Source: the Alexandria database, functional PBE.

Unit cell a=3.0260 b=3.0260 c=6.0071 alpha=90.00 beta=90.00 gamma=120.00
Fractional positions:
As 0.0000 0.0000 0.2308
As 0.0000 0.0000 0.7692
C 0.3333 0.6667 0.0000

Properties
Its density of states at the Fermi level is 1.47 states/eV/cell. Its space-group type is P-6m2 (187). Its calculated formation energy is 1276.0 meV/atom. The value obtained for the calculated volume is 47.6 Å³ per cell. As for the energy above the most stable polymorph in this dataset: 779 meV per atom.